1.
Material: ErBrCl2
Method: DFT, PBE
State: relaxed

Lattice parameters (Å, degrees): 3.7934 7.4092 8.6495 90.00 90.00 104.83
Fractional positions:
Er (0.7418, 0.4836, 0.7500)
Er (0.2582, 0.5164, 0.2500)
Br (0.9011, 0.8020, 0.2500)
Br (0.0989, 0.1980, 0.7500)
Cl (0.3316, 0.6632, 0.5723)
Cl (0.6684, 0.3368, 0.4277)
Cl (0.3316, 0.6632, 0.9277)
Cl (0.6684, 0.3368, 0.0723)

Values from the calculation:
**D(E_F)**: 0.000 states/eV/atom
**Space-group type**: No. 63
**Magnetization**: 0.00 μB/f.u.
**E_form (uncorrected)**: -2.09 eV per atom
**Density**: 4.5 g/cm3


2.
Material: ErBrCl2
Method: DFT, PBE
State: relaxed

Lattice parameters (Å, degrees): 6.9247 6.9247 7.5381 108.66 108.66 112.63
Fractional positions:
Er (0.1190, 0.4374, 0.4170)
Er (0.4374, 0.1190, 0.9170)
Br (0.5529, 0.8850, 0.6302)
Br (0.8850, 0.5529, 0.1302)
Cl (0.2641, 0.2642, 0.6586)
Cl (0.6798, 0.0454, 0.2080)
Cl (0.2642, 0.2641, 0.1586)
Cl (0.0454, 0.6798, 0.7080)

Values from the calculation:
**D(E_F)**: 0.000 states/eV/atom
**Space-group type**: No. 9
**Magnetization**: 0.00 μB/f.u.
**E_form (uncorrected)**: -2.13 eV per atom
**Density**: 3.9 g/cm3


3.
Material: ErHBrCl
Method: DFT, PBE
State: relaxed

Lattice parameters (Å, degrees): 3.9182 3.9192 7.7705 75.42 75.40 60.01
Fractional positions:
Er (0.1084, 0.3924, 0.3908)
H (0.7653, 0.0494, 0.4200)
Br (0.9932, 0.2804, 0.7332)
Cl (0.5112, 0.7948, 0.1828)

Values from the calculation:
**D(E_F)**: 0.000 states/eV/atom
**Space-group type**: No. 8
**Magnetization**: 0.00 μB/f.u.
**E**: -17.05 eV for the cell shown
**Density**: 4.8 g/cm3